(1)
The following is a PBE calculation of an optimized crystal structure of BeTlNi2, from Alexandria via LeMat-Bulk.

Summary:
- Energy above the most stable polymorph in this dataset: 0.120 eV/atom
- Total moment: 0.0 μB per formula unit
- SG: No. 123

The structure in CIF format:
```
data_BeTlNi2
_cell_length_a 3.8027
_cell_length_b 3.8025
_cell_length_c 3.6429
_cell_angle_alpha 90.00
_cell_angle_beta 90.00
_cell_angle_gamma 90.00
_space_group_name_H-M_alt 'P 1'
_space_group_IT_number 1
_space_group_name_Hall 'P 1'
loop_
_atom_site_label
_atom_site_fract_x
_atom_site_fract_y
_atom_site_fract_z
_atom_site_occupancy
Ni1 0.0000 0.0000 0.0000 1
Ni2 0.5000 0.5000 0.0000 1
Tl1 0.5000 0.0000 0.5000 1
Be1 0.0000 0.5000 0.5000 1
```

(2)
The following is a PBE calculation of an optimized crystal structure of NaNpF4, from Alexandria via LeMat-Bulk.

Summary:
- Total moment: 4.0 μB per formula unit
- SG: No. 109
- Formation energy from raw total energies: -3170 meV/atom

The structure in CIF format:
```
data_NaNpF4
_cell_length_a 6.5126
_cell_length_b 6.5126
_cell_length_c 6.5126
_cell_angle_alpha 108.32
_cell_angle_beta 108.32
_cell_angle_gamma 111.79
_space_group_name_H-M_alt 'P 1'
_space_group_IT_number 1
_space_group_name_Hall 'P 1'
loop_
_atom_site_label
_atom_site_fract_x
_atom_site_fract_y
_atom_site_fract_z
_atom_site_occupancy
Na1 0.2535 0.2535 0.0000 1
Na2 0.0035 0.5035 0.5000 1
Np1 0.7394 0.7394 0.0000 1
Np2 0.4894 0.9894 0.5000 1
F1 0.2622 0.9578 0.6957 1
F2 0.7413 0.4362 0.6949 1
F3 0.7078 0.5122 0.1957 1
F4 0.1862 0.9913 0.1949 1
F5 0.3165 0.5122 0.8043 1
F6 0.7965 0.9913 0.8051 1
F7 0.7413 0.0465 0.3051 1
F8 0.2622 0.5665 0.3043 1
```

(3)
The following is a PBE calculation of an optimized crystal structure of CeSBr, from Alexandria via LeMat-Bulk.

Summary:
- Energy above the most stable polymorph in this dataset: 0.170 eV/atom
- Total moment: 1.0 μB per formula unit
- SG: No. 216
- Formation energy from raw total energies: -1751 meV/atom

The structure in CIF format:
```
data_CeSBr
_cell_length_a 4.9223
_cell_length_b 4.9223
_cell_length_c 4.9223
_cell_angle_alpha 60.00
_cell_angle_beta 60.00
_cell_angle_gamma 60.00
_space_group_name_H-M_alt 'P 1'
_space_group_IT_number 1
_space_group_name_Hall 'P 1'
loop_
_atom_site_label
_atom_site_fract_x
_atom_site_fract_y
_atom_site_fract_z
_atom_site_occupancy
S1 0.5000 0.5000 0.5000 1
Br1 0.0000 0.0000 0.0000 1
Ce1 0.2500 0.2500 0.2500 1
```

(4)
The following is a PBE calculation of an optimized crystal structure of AlGaS2I, from Alexandria via LeMat-Bulk.

Summary:
- Energy above the most stable polymorph in this dataset: 0.373 eV/atom
- Total moment: 0.5 μB per formula unit
- SG: No. 123
- Formation energy from raw total energies: 272 meV/atom

The structure in CIF format:
```
data_AlGaS2I
_cell_length_a 4.5707
_cell_length_b 6.8150
_cell_length_c 4.5707
_cell_angle_alpha 90.00
_cell_angle_beta 90.00
_cell_angle_gamma 90.00
_space_group_name_H-M_alt 'P 1'
_space_group_IT_number 1
_space_group_name_Hall 'P 1'
loop_
_atom_site_label
_atom_site_fract_x
_atom_site_fract_y
_atom_site_fract_z
_atom_site_occupancy
I1 0.5000 0.5000 0.5000 1
S1 0.0000 0.0000 0.5000 1
S2 0.5000 0.0000 0.0000 1
Al1 0.0000 0.5000 0.0000 1
Ga1 0.0000 0.0000 0.0000 1
```

(5)
The following is a PBE calculation of an optimized crystal structure of KGaSi, from Alexandria via LeMat-Bulk.

Summary:
- Total moment: 0.0 μB per formula unit
- SG: No. 62
- Formation energy from raw total energies: -22 meV/atom

The structure in CIF format:
```
data_KGaSi
_cell_length_a 8.0708
_cell_length_b 4.5830
_cell_length_c 7.3588
_cell_angle_alpha 90.00
_cell_angle_beta 90.00
_cell_angle_gamma 90.00
_space_group_name_H-M_alt 'P 1'
_space_group_IT_number 1
_space_group_name_Hall 'P 1'
loop_
_atom_site_label
_atom_site_fract_x
_atom_site_fract_y
_atom_site_fract_z
_atom_site_occupancy
K1 0.9987 0.2500 0.6602 1
K2 0.5013 0.7500 0.1602 1
K3 0.0013 0.7500 0.3398 1
K4 0.4987 0.2500 0.8398 1
Si1 0.8329 0.2500 0.0988 1
Si2 0.6671 0.7500 0.5988 1
Si3 0.1671 0.7500 0.9012 1
Si4 0.3329 0.2500 0.4012 1
Ga1 0.1581 0.2500 0.0907 1
Ga2 0.3419 0.7500 0.5907 1
Ga3 0.8419 0.7500 0.9093 1
Ga4 0.6581 0.2500 0.4093 1
```

(6)
The following is a PBE calculation of an optimized crystal structure of Pa2MnNbN6, from Alexandria via LeMat-Bulk.

Summary:
- Total moment: 3.9 μB per formula unit
- SG: No. 99
- Formation energy from raw total energies: -942 meV/atom

The structure in CIF format:
```
data_Pa2MnNbN6
_cell_length_a 4.8308
_cell_length_b 5.2832
_cell_length_c 5.2832
_cell_angle_alpha 90.00
_cell_angle_beta 90.00
_cell_angle_gamma 90.00
_space_group_name_H-M_alt 'P 1'
_space_group_IT_number 1
_space_group_name_Hall 'P 1'
loop_
_atom_site_label
_atom_site_fract_x
_atom_site_fract_y
_atom_site_fract_z
_atom_site_occupancy
Pa1 0.9937 0.5000 0.0000 1
Pa2 0.9937 0.0000 0.5000 1
Mn1 0.5910 0.0000 0.0000 1
Nb1 0.5709 0.5000 0.5000 1
N1 0.7299 0.2465 0.2465 1
N2 0.7299 0.2465 0.7535 1
N3 0.1750 0.5000 0.5000 1
N4 0.2030 0.0000 0.0000 1
N5 0.7299 0.7535 0.7535 1
N6 0.7299 0.7535 0.2465 1
```